VASP calculation (PBE) on SrSb2Pb after structural relaxation.

The calculated volume comes out at 31.485 A^3/atom. As for the density of states at the Fermi level: 0.49 states/eV per atom. For the energy, the calculation gives -15.243 eV/cell. For the uncorrected formation energy, the calculation gives -0.402 eV per atom.

It has space group Pm (No. 6), with a = 3.506 Å, b = 5.994 Å, c = 5.993 Å, α = 90.00°, β = 90.01° and γ = 90.00°. The asymmetric unit holds Sr at (0.000, 0.000, 0.000), Sb at (0.492, 0.000, 0.500), Sb at (0.495, 0.500, 0.002) and Pb at (0.070, 0.500, 0.502).



VASP calculation (PBE) on Pm8GaPt2 after structural relaxation.

The formation energy comes out at -0.4338 eV per atom. The calculated volume comes out at 29.881 A^3/atom. As for the density of states at the Fermi level: 1.20 states/eV per atom. For the energy, the calculation gives -115.769 eV/cell. The calculation puts the energy relative to the lowest polymorph listed for this composition at 0.0957 eV/atom.

It has space group Cm (No. 8), with a = 8.693 Å, b = 13.438 Å, c = 5.815 Å, α = 90.00°, β = 104.60° and γ = 90.00°. The asymmetric unit holds Pm at (0.000, 0.000, 0.000), Pm at (0.069, 0.374, 0.777), Pm at (0.159, 0.128, 0.574), Pm at (0.248, 0.500, 0.381), Pm at (0.362, 0.235, 0.185), Ga at (0.371, 0.000, 0.279) and Pt at (0.366, 0.308, 0.688).



VASP calculation (PBE) on K2AlBr after structural relaxation.

The calculated volume comes out at 42.621 A^3/atom. As for the density of states at the Fermi level: 0.58 states/eV per atom. For the energy, the calculation gives -17.399 eV/cell. For the uncorrected formation energy, the calculation gives -0.272 eV per atom. The calculation puts the energy relative to the lowest polymorph listed for this composition at 0.2460 eV/atom.

It has space group Immm (No. 71), with a = 4.162 Å, b = 7.388 Å, c = 11.088 Å, α = 90.00°, β = 90.00° and γ = 90.00°. The asymmetric unit holds K at (0.000, 0.000, 0.214), Al at (0.000, 0.500, 0.000) and Br at (0.000, 0.500, 0.500).



VASP calculation (PBE) on Li7Mg2Cd after structural relaxation.

The formation energy comes out at -0.0268 eV per atom. The calculated volume comes out at 19.783 A^3/atom. As for the density of states at the Fermi level: 0.54 states/eV per atom. For the energy, the calculation gives -35.538 eV/cell. The calculation puts the energy relative to the lowest polymorph listed for this composition at 0.0000 eV/atom.

It has space group Cmmm (No. 65), with a = 5.424 Å, b = 24.776 Å, c = 2.944 Å, α = 90.00°, β = 90.00° and γ = 90.00°. The asymmetric unit holds Li at (0.000, 0.000, 0.000), Li at (0.000, 0.309, 0.500), Li at (0.244, 0.403, 0.000), Mg at (0.000, 0.205, 0.000) and Cd at (0.000, 0.500, 0.500).



VASP calculation (PBE) on Ac3Cu5Te12 after structural relaxation.

The calculated volume comes out at 31.549 A^3/atom. As for the density of states at the Fermi level: 0.79 states/eV per atom. For the energy, the calculation gives -639.016 eV/cell. For the uncorrected formation energy, the calculation gives -0.469 eV per atom.

It has space group Ia-3d (No. 230), with a = 17.154 Å, b = 17.154 Å, c = 17.154 Å, α = 90.00°, β = 90.00° and γ = 90.00°. The asymmetric unit holds Ac at (0.000, 0.250, 0.125), Cu at (0.000, 0.000, 0.000), Cu at (0.000, 0.250, 0.375) and Te at (0.032, 0.055, 0.645).



VASP calculation (PBE) on Be2AlAs after structural relaxation.

The formation energy comes out at 0.4200 eV per atom. The calculated volume comes out at 13.388 A^3/atom. As for the density of states at the Fermi level: 0.32 states/eV per atom. For the energy, the calculation gives -28.329 eV/cell. The calculation puts the energy relative to the lowest polymorph listed for this composition at 0.2013 eV/atom.

It has space group I4/mmm (No. 139), with a = 3.823 Å, b = 3.823 Å, c = 7.330 Å, α = 90.00°, β = 90.00° and γ = 90.00°. The asymmetric unit holds Be at (0.000, 0.500, 0.250), Al at (0.000, 0.000, 0.000) and As at (0.000, 0.000, 0.500).